Material: Y2SbTe
Method: DFT, meta-GGA SCAN
State: PBEsol geometry

Values from the calculation:
energy above the most stable polymorph in this dataset: 0.0000 eV per atom
raw total energy: -33.9804 eV/atom
E_form (uncorrected): -138 kJ/mol of atoms
D(E_F): 1.39 states/eV/cell

a b c (Å): 7.4724 7.4724 7.4724
angles (deg): 33.56 33.56 33.56
Closest atoms and distances in Å follow each position.
Sites, in units of the cell vectors:
Y: 0.2467 0.2467 0.2467  3 Sb 3.01, 3 Te 3.09
Y: 0.7533 0.7533 0.7533  3 Sb 3.01, 3 Te 3.09
Sb: 0.5000 0.5000 0.5000  6 Y 3.01
Te: 0.0000 0.0000 0.0000  6 Y 3.09